(1)
Below is crystalline RbCeReN4 at its relaxed geometry, with properties calculated at the GGA-PBE level.

Output
**Calculated volume**: 20.39 Å³ per atom
**Magnetization**: 0.000 μB/atom
**Crystal system**: monoclinic
**E_form (uncorrected)**: -0.620 eV per atom

Cell: 6.1618 6.0387 7.9551 Å, 90.00 105.35 90.00°
Fractional positions:
Rb1 0.2071 0.2500 0.4267
Rb2 0.7929 0.7500 0.5733
Ce1 0.2889 0.2500 0.9473
Ce2 0.7111 0.7500 0.0527
Re1 0.2394 0.7500 0.1486
Re2 0.7606 0.2500 0.8514
N1 0.0401 0.7500 0.9384
N2 0.0471 0.7500 0.2881
N3 0.4354 0.5143 0.1626
N4 0.4354 0.9857 0.1626
N5 0.5646 0.0143 0.8374
N6 0.5646 0.4857 0.8374
N7 0.9529 0.2500 0.7119
N8 0.9599 0.2500 0.0616

(2)
Below is crystalline Cu2NiPdN at its relaxed geometry, with properties calculated at the GGA-PBE level.

Output
**Calculated volume**: 11.40 Å³ per atom
**Magnetization**: 0.000 μB/atom
**Crystal system**: tetragonal
**Energy relative to the lowest polymorph listed for this composition**: 0.0 kJ/mol of atoms
**E_form (uncorrected)**: 0.060 eV per atom

Cell: 3.9199 3.9199 3.7088 Å, 90.00 90.00 90.00°
Fractional positions:
Cu1 0.0000 0.5000 0.0000
Cu2 0.5000 0.0000 0.0000
Ni1 0.0000 0.0000 0.5000
Pd1 0.5000 0.5000 0.5000
N1 0.0000 0.0000 0.0000

What is the formula in the first record? RbCeReN4

The highest calculated volume belongs to which entry? RbCeReN4

What did the second record say?
Below is crystalline Cu2NiPdN at its relaxed geometry, with properties calculated at the GGA-PBE level.

Output
**Calculated volume**: 11.40 Å³ per atom
**Magnetization**: 0.000 μB/atom
**Crystal system**: tetragonal
**Energy relative to the lowest polymorph listed for this composition**: 0.0 kJ/mol of atoms
**E_form (uncorrected)**: 0.060 eV per atom

Cell: 3.9199 3.9199 3.7088 Å, 90.00 90.00 90.00°
Fractional positions:
Cu1 0.0000 0.5000 0.0000
Cu2 0.5000 0.0000 0.0000
Ni1 0.0000 0.0000 0.5000
Pd1 0.5000 0.5000 0.5000
N1 0.0000 0.0000 0.0000